# Ag4Sb3Se8

A relaxed structure of Ag4Sb3Se8 (PBE-GGA, Alexandria).

Lattice parameters (Å, degrees): 11.388 11.215 8.076 90.00 134.65 90.00
Space group C2/m (No. 12)
Inequivalent atoms, fractional coordinates:
1 Ag 0.000 0.000 0.000
2 Ag 0.000 0.000 0.500
3 Ag 0.250 0.250 0.000
4 Sb 0.000 0.500 0.500
5 Sb 0.250 0.250 0.500
6 Se 0.000 0.230 0.000
7 Se 0.000 0.245 0.500
8 Se 0.202 0.500 0.408
9 Se 0.225 0.000 0.997

Results
Density in kg/m3: 6465
Excess energy over the best structure of this formula in the dataset in eV per formula unit: 0.238
Energy relative to the elements, uncorrected in meV/atom: -94
E_tot in eV for the cell shown: -106.108

# Ag2SbSe3

A relaxed structure of Ag2SbSe3 (PBE-GGA, Alexandria).

Lattice parameters (Å, degrees): 5.608 12.294 8.315 90.00 90.03 90.00
Space group P2_1/c (No. 14)
Inequivalent atoms, fractional coordinates:
1 Ag 0.249 0.241 0.140
2 Ag 0.250 0.585 0.125
3 Sb 0.250 0.584 0.646
4 Se 0.249 0.104 0.883
5 Se 0.250 0.061 0.383
6 Se 0.251 0.743 0.344

Results
Density in kg/m3: 6655
Excess energy over the best structure of this formula in the dataset in eV per formula unit: 0.000
Energy relative to the elements, uncorrected in meV/atom: -131
E_tot in eV for the cell shown: -84.247

# AgSbSe3

A relaxed structure of AgSbSe3 (PBE-GGA, Alexandria).

Lattice parameters (Å, degrees): 5.321 5.321 5.321 90.00 90.00 90.00
Space group Pm-3m (No. 221)
Inequivalent atoms, fractional coordinates:
1 Ag 0.000 0.000 0.000
2 Sb 0.500 0.500 0.500
3 Se 0.000 0.500 0.500

Results
Density in kg/m3: 5142
Excess energy over the best structure of this formula in the dataset in eV per formula unit: 3.119
Energy relative to the elements, uncorrected in meV/atom: 496
E_tot in eV for the cell shown: -14.948

# Ag3Sb5Se12

A relaxed structure of Ag3Sb5Se12 (PBE-GGA, Alexandria).

Lattice parameters (Å, degrees): 16.658 16.658 16.658 90.00 90.00 90.00
Space group Ia-3d (No. 230)
Inequivalent atoms, fractional coordinates:
1 Ag 0.000 0.250 0.125
2 Sb 0.000 0.000 0.000
3 Sb 0.000 0.250 0.375
4 Se 0.023 0.068 0.654

Results
Density in kg/m3: 5402
Energy relative to the elements, uncorrected in meV/atom: 15
E_tot in eV for the cell shown: -565.377

- The lowest density belongs to which entry?
  AgSbSe3